Entry 1:
# Rb2CrBr2Cl2

An optimized crystal structure of Rb2CrBr2Cl2 (PBE, the Alexandria database).

abc: 9.2293 9.2293 9.2293
angles: 147.98 147.98 45.91
With the nearest neighbours (Å) after each atom.
Atoms (fractional coordinates):
1 Cl 0.0000 0.5000 0.5000  2 Cr 2.55
2 Cl 0.5000 0.0000 0.5000  2 Cr 2.55
3 Cr 0.0000 0.0000 0.0000  4 Cl 2.55, 2 Br 2.63
4 Rb 0.3640 0.3640 0.0000  4 Cl 3.44, 5 Br 3.56-3.61
5 Rb 0.6360 0.6360 0.0000  4 Cl 3.44, 5 Br 3.56-3.61
6 Br 0.1547 0.1547 0.0000  1 Cr 2.63
7 Br 0.8453 0.8453 0.0000  1 Cr 2.63

Computed properties:
Formation energy (no corrections) = -10.05 eV per formula unit
Offset from the most stable computed form = 2 meV per atom
Symmetry = I4/mmm

---

Entry 2:
# Rb2CrBrCl3

An optimized crystal structure of Rb2CrBrCl3 (PBE, the Alexandria database).

abc: 8.9959 8.9959 7.2709
angles: 90.00 90.00 132.33
With the nearest neighbours (Å) after each atom.
Atoms (fractional coordinates):
1 Br 0.6553 0.3447 0.5000  1 Cr 2.62
2 Br 0.1553 0.8447 0.0000  1 Cr 2.62
3 Rb 0.6391 0.3609 0.0000  5 Cl 3.45-3.47, 4 Br 3.65
4 Rb 0.1391 0.8609 0.5000  5 Cl 3.45-3.47, 4 Br 3.65
5 Rb 0.8643 0.1357 0.5000  8 Cl 3.39-3.64, 1 Br 3.44
6 Rb 0.3643 0.6357 0.0000  8 Cl 3.39-3.64, 1 Br 3.44
7 Cl 0.3487 0.6513 0.5000  1 Cr 2.43
8 Cl 0.2344 0.2380 0.7642  2 Cr 2.43-2.71
9 Cl 0.7620 0.7656 0.2358  2 Cr 2.43-2.71
10 Cl 0.2620 0.2656 0.2642  2 Cr 2.43-2.71
11 Cl 0.7344 0.7380 0.7358  2 Cr 2.43-2.71
12 Cl 0.8487 0.1513 0.0000  1 Cr 2.43
13 Cr 0.9963 0.0037 0.0000  5 Cl 2.43-2.71, 1 Br 2.62
14 Cr 0.4963 0.5037 0.5000  5 Cl 2.43-2.71, 1 Br 2.62

Computed properties:
Formation energy (no corrections) = -10.49 eV per formula unit
Symmetry = Aea2

---

Entry 3:
# Rb2CrBr2Cl2

An optimized crystal structure of Rb2CrBr2Cl2 (PBE, the Alexandria database).

abc: 4.0956 7.0678 8.4864
angles: 65.41 76.05 90.02
With the nearest neighbours (Å) after each atom.
Atoms (fractional coordinates):
1 Br 0.1709 0.1706 0.6580  1 Cr 2.54
2 Br 0.8291 0.8294 0.3420  1 Cr 2.54
3 Cr 0.0000 0.0000 0.0000  2 Br 2.54, 4 Cl 2.66
4 Rb 0.1435 0.6432 0.7130  4 Br 3.44-3.56, 4 Cl 3.48
5 Rb 0.8565 0.3568 0.2870  4 Br 3.44-3.56, 4 Cl 3.48
6 Cl 0.5001 0.7588 0.0002  2 Cr 2.66
7 Cl 0.4999 0.2412 0.9998  2 Cr 2.66

Computed properties:
Formation energy (no corrections) = -9.37 eV per formula unit
Offset from the most stable computed form = 100 meV per atom
Symmetry = Immm

---

Entry 4:
# Rb2CrBrCl6

An optimized crystal structure of Rb2CrBrCl6 (PBE, the Alexandria database).

abc: 8.1247 8.1247 7.3266
angles: 56.33 56.33 90.00
With the nearest neighbours (Å) after each atom.
Atoms (fractional coordinates):
1 Rb 0.2500 0.7500 0.5000  12 Cl 3.70-4.06
2 Rb 0.7500 0.2500 0.5000  12 Cl 3.70-4.06
3 Cl 0.7484 0.7484 0.5033  1 Cr 2.26, 1 Br 2.29
4 Cl 0.2954 0.7046 0.0000  1 Cr 2.35
5 Cl 0.7046 0.2954 0.0000  1 Cr 2.35
6 Cl 0.2954 0.2954 0.0000  1 Cr 2.35
7 Cl 0.2516 0.2516 0.4967  1 Cr 2.26, 1 Br 2.29
8 Cl 0.7046 0.7046 0.0000  1 Cr 2.35
9 Br 0.0000 0.0000 0.0000  2 Cl 2.29
10 Cr 0.5000 0.5000 0.0000  6 Cl 2.26-2.35

Computed properties:
Formation energy (no corrections) = -11.09 eV per formula unit
Symmetry = I4/mmm

---

Entry 5:
# RbCrBrCl2

An optimized crystal structure of RbCrBrCl2 (PBE, the Alexandria database).

abc: 5.0039 5.0039 5.3481
angles: 90.00 90.00 90.00
With the nearest neighbours (Å) after each atom.
Atoms (fractional coordinates):
1 Cl 0.5000 0.0000 0.0000  2 Cr 2.50
2 Cl 0.0000 0.5000 0.0000  2 Cr 2.50
3 Rb 0.5000 0.5000 0.5000  4 Br 3.54, 8 Cl 3.66
4 Br 0.0000 0.0000 0.5000  2 Cr 2.67
5 Cr 0.0000 0.0000 0.0000  4 Cl 2.50, 2 Br 2.67

Computed properties:
Formation energy (no corrections) = -6.41 eV per formula unit
Symmetry = P4/mmm

---

Entry 6:
# Cr2S2BrCl

An optimized crystal structure of Cr2S2BrCl (PBE, the Alexandria database).

abc: 3.4997 4.7431 8.4858
angles: 90.00 90.00 90.00
With the nearest neighbours (Å) after each atom.
Atoms (fractional coordinates):
1 Br 0.5000 0.5000 0.3317  2 Cr 2.52
2 Cl 0.0000 0.0000 0.6821  2 Cr 2.39
3 S 0.5000 0.5000 0.9287  4 Cr 2.38-2.42
4 S 0.0000 0.0000 0.0649  4 Cr 2.39-2.42
5 Cr 0.5000 0.0000 0.8738  4 S 2.39-2.42, 2 Cl 2.39
6 Cr 0.0000 0.5000 0.1187  4 S 2.38-2.42, 2 Br 2.52

Computed properties:
Formation energy (no corrections) = -4.94 eV per formula unit
Symmetry = Pmm2

---

Entry 7:
# CrSeBr2Cl

An optimized crystal structure of CrSeBr2Cl (PBE, the Alexandria database).

abc: 5.1538 5.1538 5.3263
angles: 90.00 90.00 90.00
With the nearest neighbours (Å) after each atom.
Atoms (fractional coordinates):
1 Br 0.0000 0.5000 0.0000  2 Cl 2.58
2 Br 0.5000 0.0000 0.0000  2 Cl 2.58
3 Cl 0.0000 0.0000 0.0000  4 Br 2.58, 2 Se 2.66
4 Se 0.0000 0.0000 0.5000  2 Cl 2.66
5 Cr 0.5000 0.5000 0.5000  4 Se 3.64, 8 Br 3.71

Computed properties:
Formation energy (no corrections) = 3.75 eV per formula unit
Offset from the most stable computed form = 632 meV per atom
Symmetry = P4/mmm

---

Entry 8:
# CrSeBr2Cl

An optimized crystal structure of CrSeBr2Cl (PBE, the Alexandria database).

abc: 4.9519 4.9519 4.6762
angles: 90.00 90.00 90.00
With the nearest neighbours (Å) after each atom.
Atoms (fractional coordinates):
1 Se 0.0000 0.0000 0.5000  2 Cr 2.34
2 Cl 0.5000 0.5000 0.5000  8 Br 3.41, 4 Se 3.50
3 Br 0.5000 0.0000 0.0000  2 Cr 2.48
4 Br 0.0000 0.5000 0.0000  2 Cr 2.48
5 Cr 0.0000 0.0000 0.0000  2 Se 2.34, 4 Br 2.48

Computed properties:
Formation energy (no corrections) = 0.59 eV per formula unit
Offset from the most stable computed form = 0 meV per atom
Symmetry = P4/mmm

---

Entry 9:
# CrSn3Br2Cl6

An optimized crystal structure of CrSn3Br2Cl6 (PBE, the Alexandria database).

abc: 6.4150 8.0734 8.1434
angles: 119.72 86.52 90.00
With the nearest neighbours (Å) after each atom.
Atoms (fractional coordinates):
1 Br 0.8005 0.3159 0.6319  3 Sn 2.98-2.99
2 Br 0.1995 0.6841 0.3681  3 Sn 2.98-2.99
3 Cl 0.2756 0.6988 0.8637  1 Cr 2.60, 1 Sn 2.86
4 Cl 0.2756 0.1649 0.8637  1 Cr 2.60, 1 Sn 2.86
5 Cl 0.2859 0.1473 0.2946  1 Cr 2.41
6 Cl 0.7244 0.8351 0.1363  1 Cr 2.60, 1 Sn 2.86
7 Cl 0.7141 0.8527 0.7054  1 Cr 2.41
8 Cl 0.7244 0.3012 0.1363  1 Cr 2.60, 1 Sn 2.86
9 Sn 0.5000 0.5000 0.5000  4 Cl 2.86-2.89, 2 Br 2.99
10 Sn 0.0000 0.5000 0.0000  4 Cl 2.91, 2 Br 2.98
11 Sn 0.5000 0.0000 0.5000  4 Cl 2.86-2.89, 2 Br 2.99
12 Cr 0.5000 0.0000 0.0000  6 Cl 2.41-2.60

Computed properties:
Formation energy (no corrections) = -10.54 eV per formula unit
Symmetry = C2/m

---

Entry 10:
# Cr2SnBrCl

An optimized crystal structure of Cr2SnBrCl (PBE, the Alexandria database).

abc: 5.3890 5.1786 5.3890
angles: 90.00 90.00 90.00
With the nearest neighbours (Å) after each atom.
Atoms (fractional coordinates):
1 Br 0.5000 0.5000 0.5000  8 Cr 3.74, 4 Cl 3.81
2 Cr 0.5000 0.0000 0.0000  2 Sn 2.69
3 Cr 0.0000 0.0000 0.5000  2 Sn 2.69
4 Cl 0.0000 0.5000 0.0000  2 Sn 2.59
5 Sn 0.0000 0.0000 0.0000  2 Cl 2.59, 4 Cr 2.69

Computed properties:
Formation energy (no corrections) = 2.81 eV per formula unit
Symmetry = P4/mmm

---

Entry 11:
# Cr2TeBrCl

An optimized crystal structure of Cr2TeBrCl (PBE, the Alexandria database).

abc: 4.7347 6.2074 4.7347
angles: 90.00 90.00 90.00
With the nearest neighbours (Å) after each atom.
Atoms (fractional coordinates):
1 Cr 0.0000 0.0000 0.5000  2 Cl 2.37
2 Cr 0.5000 0.0000 0.0000  2 Cl 2.37
3 Cl 0.0000 0.0000 0.0000  4 Cr 2.37
4 Br 0.0000 0.5000 0.0000  2 Cl 3.10, 4 Te 3.35
5 Te 0.5000 0.5000 0.5000  4 Br 3.35

Computed properties:
Formation energy (no corrections) = 2.95 eV per formula unit
Symmetry = P4/mmm

---

Entry 12:
# Tl2CrBrCl

An optimized crystal structure of Tl2CrBrCl (PBE, the Alexandria database).

abc: 5.5099 4.3340 5.5099
angles: 90.00 90.00 90.00
With the nearest neighbours (Å) after each atom.
Atoms (fractional coordinates):
1 Tl 0.5000 0.0000 0.0000  2 Cr 2.75
2 Tl 0.0000 0.0000 0.5000  2 Cr 2.75
3 Br 0.5000 0.5000 0.5000  8 Tl 3.51, 4 Cl 3.90
4 Cl 0.0000 0.5000 0.0000  2 Cr 2.17
5 Cr 0.0000 0.0000 0.0000  2 Cl 2.17

Computed properties:
Formation energy (no corrections) = -0.43 eV per formula unit
Symmetry = P4/mmm

---

What is the formation energy (no corrections) in the eighth record?
0.59 eV per formula unit

---

Number 5 is which compound?
RbCrBrCl2